The following is a DFT calculation (PBE-GGA) of an optimized crystal structure of PrSm6Dy8.

a b c (Å): 9.1122 9.1122 20.7781
angles (deg): 90.00 90.00 120.00
Space group R-3 (No. 148, hexagonal axes)
Asymmetric unit:
Pr 0.0000 0.0000 0.0000 (multiplicity 3)
Sm 0.0611 0.2463 0.7088 (multiplicity 18)
Dy 0.0000 0.0000 0.4236 (multiplicity 6)
Dy 0.0804 0.5530 0.8083 (multiplicity 18)

For the magnetic moment, the calculation gives 0.00 μB per cell. Its total energy is -203.99 eV for the cell shown. The calculation puts the energy of formation at 0.1277 eV/atom.

The following is a DFT calculation (PBE-GGA) of an optimized crystal structure of Pr4Sm15Dy.

a b c (Å): 5.152 5.152 25.728
angles (deg): 90.00 90.00 90.00
Space group P4/mmm (No. 123)
Asymmetric unit:
Pr 0.000 0.000 0.100 (multiplicity 2)
Pr 0.000 0.000 0.301 (multiplicity 2)
Sm 0.000 0.500 0.000 (multiplicity 2)
Sm 0.000 0.500 0.201 (multiplicity 4)
Sm 0.000 0.500 0.402 (multiplicity 4)
Sm 0.500 0.500 0.100 (multiplicity 2)
Sm 0.500 0.500 0.301 (multiplicity 2)
Sm 0.500 0.500 0.500 (multiplicity 1)
Dy 0.000 0.000 0.500 (multiplicity 1)

For the magnetic moment, the calculation gives 0.00 μB per cell. Its total energy is -94.18 eV for the cell shown. The calculation puts the energy of formation at 0.0162 eV/atom.

The following is a DFT calculation (PBE-GGA) of an optimized crystal structure of Pr3Sm3Dy8.

a b c (Å): 5.707 10.819 15.232
angles (deg): 90.00 90.00 90.00
Space group Immm (No. 71)
Asymmetric unit:
Pr 0.000 0.000 0.000 (multiplicity 2)
Pr 0.000 0.500 0.314 (multiplicity 4)
Sm 0.000 0.000 0.500 (multiplicity 2)
Sm 0.000 0.300 0.500 (multiplicity 4)
Dy 0.000 0.161 0.280 (multiplicity 8)
Dy 0.000 0.340 0.102 (multiplicity 8)

For the magnetic moment, the calculation gives 0.00 μB per cell. Its total energy is -127.68 eV for the cell shown. The calculation puts the energy of formation at 0.1051 eV/atom.

The following is a DFT calculation (PBE-GGA) of an optimized crystal structure of Pr2SmDy.

a b c (Å): 3.6625 3.6625 35.5723
angles (deg): 90.00 90.00 120.00
Space group R3m (No. 160, hexagonal axes)
Asymmetric unit:
Pr 0.0000 0.0000 0.0000 (multiplicity 3)
Pr 0.0000 0.0000 0.1682 (multiplicity 3)
Sm 0.0000 0.0000 0.4171 (multiplicity 3)
Dy 0.0000 0.0000 0.5847 (multiplicity 3)

For the magnetic moment, the calculation gives 0.00 μB per cell. Its total energy is -56.42 eV for the cell shown. The calculation puts the energy of formation at 0.0183 eV/atom.

The following is a DFT calculation (PBE-GGA) of an optimized crystal structure of Pr4Sm7Dy.

a b c (Å): 16.502 6.064 9.384
angles (deg): 90.00 116.26 90.00
Space group C2/m (No. 12)
Asymmetric unit:
Pr 0.076 0.000 0.202 (multiplicity 4)
Pr 0.175 0.000 0.886 (multiplicity 4)
Sm 0.000 0.000 0.500 (multiplicity 2)
Sm 0.080 0.500 0.934 (multiplicity 4)
Sm 0.207 0.500 0.723 (multiplicity 4)
Sm 0.210 0.500 0.375 (multiplicity 4)
Dy 0.000 0.500 0.500 (multiplicity 2)

For the magnetic moment, the calculation gives 0.81 μB per cell. Its total energy is -108.33 eV for the cell shown. The calculation puts the energy of formation at 0.2157 eV/atom.

The following is a DFT calculation (PBE-GGA) of an optimized crystal structure of Pr2SmDy6.

a b c (Å): 12.914 14.320 6.627
angles (deg): 90.00 103.38 90.00
Space group C2/c (No. 15)
Asymmetric unit:
Pr 0.143 0.027 0.374 (multiplicity 8)
Sm 0.000 0.381 0.250 (multiplicity 4)
Dy 0.034 0.189 0.002 (multiplicity 8)
Dy 0.132 0.411 0.818 (multiplicity 8)
Dy 0.240 0.202 0.732 (multiplicity 8)

For the magnetic moment, the calculation gives 0.00 μB per cell. Its total energy is -163.60 eV for the cell shown. The calculation puts the energy of formation at 0.1101 eV/atom.

The following is a DFT calculation (PBE-GGA) of an optimized crystal structure of Pr3Sm6Dy.

a b c (Å): 11.027 19.307 6.492
angles (deg): 90.00 90.00 90.00
Space group Cmc2_1 (No. 36)
Asymmetric unit:
Pr 0.000 0.114 0.000 (multiplicity 4)
Pr 0.176 0.384 0.614 (multiplicity 8)
Sm 0.000 0.226 0.427 (multiplicity 4)
Sm 0.000 0.465 0.217 (multiplicity 4)
Sm 0.170 0.043 0.522 (multiplicity 8)
Sm 0.234 0.209 0.708 (multiplicity 8)
Dy 0.000 0.309 0.960 (multiplicity 4)

For the magnetic moment, the calculation gives 0.00 μB per cell. Its total energy is -183.45 eV for the cell shown. The calculation puts the energy of formation at 0.1394 eV/atom.

The following is a DFT calculation (PBE-GGA) of an optimized crystal structure of Pr4SmDy3.

a b c (Å): 11.754 7.368 6.352
angles (deg): 90.00 90.00 90.00
Space group Pmn2_1 (No. 31)
Asymmetric unit:
Pr 0.000 0.129 0.000 (multiplicity 2)
Pr 0.000 0.871 0.492 (multiplicity 2)
Pr 0.247 0.873 0.833 (multiplicity 4)
Sm 0.000 0.377 0.500 (multiplicity 2)
Dy 0.000 0.620 0.997 (multiplicity 2)
Dy 0.250 0.379 0.831 (multiplicity 4)

For the magnetic moment, the calculation gives 0.00 μB per cell. Its total energy is -74.78 eV for the cell shown. The calculation puts the energy of formation at 0.0317 eV/atom.